Entry from Alexandria: a relaxed FeAg2PbF8 crystal (GGA+U).

**Total energy**: -52.30 eV/cell
**Space-group type**: No. 10

Cell: 4.9489 5.4588 7.1420 Å, 89.97 90.00 94.66°
With the nearest neighbours (Å) after each atom.
Sites, in units of the cell vectors:
Fe: 0.0000 0.0000 0.0000  6 F 1.96-2.01
F: 0.8556 0.1937 0.2023  1 Fe 1.96
F: 0.8557 0.1938 0.7976  1 Fe 1.96
F: 0.5894 0.7276 0.5001  2 Ag 2.26, 1 Pb 2.42
F: 0.1443 0.8062 0.2024  1 Fe 1.96
F: 0.6748 0.7530 0.0000  1 Fe 2.01
F: 0.1444 0.8063 0.7977  1 Fe 1.96
F: 0.3252 0.2470 0.0000  1 Fe 2.01
F: 0.4106 0.2724 0.4999  2 Ag 2.26, 1 Pb 2.42
Ag: 0.4998 0.4999 0.7605  4 F 2.26-2.32
Ag: 0.5002 0.5001 0.2395  4 F 2.26-2.32
Pb: 0.0000 0.0000 0.5000  6 F 2.42-2.50